Material: LiNd2Lu
Method: DFT, GGA-PBE
State: optimized geometry

Geometry as POSCAR:
```
LiNd2Lu
1.0
-0.677 -0.775 3.507
3.590 -0.252 0.637
0.263 8.809 1.998
Li Nd Lu
1 2 1
direct
0.500 0.500 0.000
0.000 0.000 0.233
0.000 0.000 0.767
0.500 0.500 0.500
```

Output
Relative energy among the computed polymorphs: 0.000 eV/f.u.
ΔE_f: 0.3 eV per formula unit
E: -15.7 eV/cell
Symmetry: P4/mmm (123)